# 1
# Ba3PmTa2O9

A relaxed Ba3PmTa2O9 crystal (PBE, Alexandria via LeMat-Bulk).

The structure in POSCAR format:
```
Ba3PmTa2O9
1.0
6.013 0.000 0.000
-3.006 5.207 0.000
0.000 0.000 7.431
Ba Pm Ta O
3 1 2 9
Cartesian
0.000 0.000 0.000
0.000 3.471 5.011
3.006 1.736 2.420
0.000 0.000 3.716
0.000 3.471 1.191
3.006 1.736 6.240
-1.503 2.604 0.000
0.000 1.847 2.322
-1.407 4.284 2.322
1.599 0.923 5.109
3.006 0.000 0.000
1.503 2.604 0.000
1.407 4.284 2.322
4.413 0.923 5.109
3.006 3.360 5.109
```

Summary:
* space-group type: P-3m1
* Fermi-level density of states: 3.36 states/eV per cell
* E_form (uncorrected): -289.31 kJ per mole of atoms

---

# 2
# K2TlNi

A relaxed K2TlNi crystal (PBE, Alexandria via LeMat-Bulk).

The structure in POSCAR format:
```
K2TlNi
1.0
3.008 -4.149 0.000
3.008 4.149 0.000
-0.012 0.000 4.905
K Tl Ni
2 1 1
Cartesian
1.504 2.075 0.000
1.504 -2.075 0.000
-0.006 0.000 2.453
3.002 0.000 2.453
```

Summary:
* space-group type: C2/m
* relative energy among the computed polymorphs: 0.3254 eV/atom
* Fermi-level density of states: 3.88 states/eV per cell
* energy relative to the elements: 494 meV/atom